Record 1
16
Lattice="5.4106 0.0000 0.0000 0.0000 10.8162 0.0000 0.0000 0.0000 10.4960" Properties=species:S:1:pos:R:3 comment="Ac4TbY3, optimized geometry, DFT GGA-PBE" ef_ev_per_atom=0.057 final_energy_ev_per_atom=-5.000 pbc="T T T"
Ac 1.3527 10.8125 1.4345
Ac 1.3527 2.7041 9.0498
Ac 1.3527 5.4119 1.4345
Ac 1.3527 8.1122 9.0648
Ac 4.0580 0.0038 9.0615
Ac 4.0580 2.7041 1.4312
Ac 4.0580 5.4044 9.0615
Ac 4.0580 8.1122 1.4462
Tb 1.3527 8.1122 4.0960
Tb 4.0580 2.7041 6.4000
Y 1.3527 0.0015 6.4013
Y 1.3527 2.7041 4.0971
Y 1.3527 5.4066 6.4013
Y 4.0580 10.8147 4.0947
Y 4.0580 5.4097 4.0947
Y 4.0580 8.1122 6.3989


Record 2
3
Lattice="0.0000 3.0007 3.0007 3.0007 0.0000 3.0007 3.0007 3.0007 0.0000" Properties=species:S:1:pos:R:3 comment="CrAgMo, optimized geometry, DFT GGA-PBE" ef_ev_per_atom=1.069 relative_energy_mev_per_atom=634 final_energy_ev_per_atom=-6.699 pbc="T T T"
Cr 0.0000 0.0000 0.0000
Ag 1.5004 1.5004 1.5004
Mo 4.5011 4.5011 4.5011


Please write out number 2 again, unchanged.
3
Lattice="0.0000 3.0007 3.0007 3.0007 0.0000 3.0007 3.0007 3.0007 0.0000" Properties=species:S:1:pos:R:3 comment="CrAgMo, optimized geometry, DFT GGA-PBE" ef_ev_per_atom=1.069 relative_energy_mev_per_atom=634 final_energy_ev_per_atom=-6.699 pbc="T T T"
Cr 0.0000 0.0000 0.0000
Ag 1.5004 1.5004 1.5004
Mo 4.5011 4.5011 4.5011